1.
VASP calculation (PBE) on Hf2TlO after structural relaxation.

* magnetization: 0.00 μB per atom
* space-group type: Fm-3m, No. 225
* electronic total energy: -27.40 eV for the cell shown

abc: 4.7027 4.7027 4.7027
angles: 60.00 60.00 60.00
Closest atoms and distances in Å follow each position.
Fractional coordinates of all 4 atoms:
Tl 0.5000 0.5000 0.5000  8 Hf 2.88
Hf 0.2500 0.2500 0.2500  4 Tl 2.88, 4 O 2.88
Hf 0.7500 0.7500 0.7500  4 O 2.88, 4 Tl 2.88
O 0.0000 0.0000 0.0000  8 Hf 2.88

***

2.
VASP calculation (PBE) on HfTl2O after structural relaxation.

* magnetization: 0.00 μB per atom
* space-group type: Fm-3m, No. 225
* electronic total energy: -17.69 eV for the cell shown

abc: 4.9189 4.9189 4.9189
angles: 60.00 60.00 60.00
Closest atoms and distances in Å follow each position.
Fractional coordinates of all 4 atoms:
Hf 0.5000 0.5000 0.5000  8 Tl 3.01
Tl 0.2500 0.2500 0.2500  4 Hf 3.01, 4 O 3.01
O 0.0000 0.0000 0.0000  8 Tl 3.01
Tl 0.7500 0.7500 0.7500  4 Hf 3.01, 4 O 3.01